Here is an optimized crystal structure of Tb2Tm5Al4 from Alexandria. Energies are from PBE-GGA.

Geometry as POSCAR:
```
Tb2Tm5Al4
1.0
3.318 0.000 0.000
0.000 9.798 0.000
-1.659 -4.899 9.036
Al Tm Tb
4 5 2
direct
0.570 0.570 0.141
0.000 0.290 0.000
0.430 0.430 0.859
0.000 0.710 0.000
0.500 0.000 0.000
0.819 0.155 0.638
0.181 0.517 0.362
0.819 0.483 0.638
0.181 0.845 0.362
0.830 0.830 0.660
0.170 0.170 0.340
```

- uncorrected energy (eV for the cell shown) = -45.89

Here is an optimized crystal structure of Pb2Br from Alexandria. Energies are from PBE-GGA.

Geometry as POSCAR:
```
Pb2Br
1.0
3.727 0.000 0.000
-1.863 3.228 0.000
0.000 0.000 7.695
Br Pb
1 2
direct
0.000 0.000 0.000
0.667 0.333 0.678
0.333 0.667 0.322
```

- uncorrected energy (eV for the cell shown) = -9.73
- ΔE_f (raw) (eV per atom) = -0.212
- polymorph energy (0 for the lowest one) (meV per atom) = 62

Here is an optimized crystal structure of Ba4CaSb3O12 from Alexandria. Energies are from PBE-GGA.

Geometry as POSCAR:
```
Ba4CaSb3O12
1.0
-7.056 -1.917 0.803
3.892 -5.841 -2.202
2.631 2.417 6.430
O Ba Sb Ca
12 4 3 1
direct
0.250 0.500 0.750
0.250 0.750 0.500
0.500 0.750 0.250
0.000 0.732 0.732
0.732 0.000 0.732
0.268 0.000 0.268
0.500 0.250 0.750
0.268 0.268 0.000
0.750 0.250 0.500
0.732 0.732 0.000
0.750 0.500 0.250
0.000 0.268 0.268
0.500 0.500 0.500
0.000 0.500 0.000
0.500 0.000 0.000
0.000 0.000 0.500
0.000 0.500 0.500
0.500 0.500 0.000
0.500 0.000 0.500
0.000 0.000 0.000
```

- uncorrected energy (eV for the cell shown) = -126.16
- ΔE_f (raw) (eV per atom) = -2.230

Here is an optimized crystal structure of Rh2PbAu2 from Alexandria. Energies are from PBE-GGA.

Geometry as POSCAR:
```
Rh2PbAu2
1.0
-2.008 3.208 0.326
-0.076 -0.430 3.774
4.822 5.006 2.580
Rh Au Pb
2 2 1
direct
0.750 0.250 0.500
0.250 0.750 0.500
0.396 0.396 0.207
0.604 0.604 0.793
0.000 0.000 0.000
```

- uncorrected energy (eV for the cell shown) = -23.48
- polymorph energy (0 for the lowest one) (meV per atom) = 165

Here is an optimized crystal structure of Dy2IrBr3 from Alexandria. Energies are from PBE-GGA.

Geometry as POSCAR:
```
Dy2IrBr3
1.0
-2.366 -0.466 3.240
-7.939 -2.940 -3.704
0.912 -10.107 1.730
Br Dy Ir
6 4 2
direct
0.322 0.318 0.039
0.785 0.836 0.595
0.050 0.103 0.797
0.678 0.682 0.961
0.215 0.164 0.405
0.950 0.897 0.203
0.121 0.575 0.182
0.879 0.425 0.818
0.402 0.797 0.399
0.598 0.203 0.601
0.555 0.522 0.369
0.445 0.478 0.631
```

- uncorrected energy (eV for the cell shown) = -62.03
- ΔE_f (raw) (eV per atom) = -1.322

Here is an optimized crystal structure of Ca2BeSi from Alexandria. Energies are from PBE-GGA.

Geometry as POSCAR:
```
Ca2BeSi
1.0
-2.140 -5.238 1.129
1.650 -5.274 1.657
-0.652 -0.891 4.620
Be Ca Si
1 2 1
direct
0.178 0.178 0.322
0.984 0.984 0.016
0.775 0.775 0.725
0.563 0.563 0.437
```

- uncorrected energy (eV for the cell shown) = -13.50
- ΔE_f (raw) (eV per atom) = -0.087
- polymorph energy (0 for the lowest one) (meV per atom) = 123

Here is an optimized crystal structure of Cs2TlOsO6 from Alexandria. Energies are from PBE-GGA.

Geometry as POSCAR:
```
Cs2TlOsO6
1.0
-1.085 -2.170 5.555
3.008 -5.638 -1.615
3.471 4.956 2.614
Cs O Tl Os
2 6 1 1
direct
0.838 0.667 0.333
0.162 0.333 0.667
0.187 0.867 0.734
0.187 0.266 0.133
0.813 0.734 0.867
0.187 0.867 0.133
0.813 0.133 0.266
0.813 0.133 0.867
0.500 0.000 0.000
0.000 0.000 0.000
```

- uncorrected energy (eV for the cell shown) = -55.98
- ΔE_f (raw) (eV per atom) = -1.092

Here is an optimized crystal structure of LiYMnPb2 from Alexandria. Energies are from PBE-GGA.

Geometry as POSCAR:
```
LiYMnPb2
1.0
-4.810 -0.514 0.463
0.505 -0.103 5.132
-0.502 4.831 0.147
Y Pb Mn Li
1 2 1 1
direct
0.000 0.500 0.000
0.000 0.000 0.500
0.500 0.000 0.000
0.500 0.500 0.500
0.000 0.000 0.000
```

- uncorrected energy (eV for the cell shown) = -22.74

Here is an optimized crystal structure of AcPmBiO2 from Alexandria. Energies are from PBE-GGA.

Geometry as POSCAR:
```
AcPmBiO2
1.0
-0.349 2.606 3.150
-3.923 -1.102 0.477
4.151 -5.964 2.723
O Ac Bi Pm
2 1 1 1
direct
0.745 0.245 0.489
0.245 0.745 0.489
0.837 0.837 0.674
0.507 0.507 0.014
0.167 0.167 0.333
```

- uncorrected energy (eV for the cell shown) = -35.61
- ΔE_f (raw) (eV per atom) = -2.590

Here is an optimized crystal structure of PmUTl2O6 from Alexandria. Energies are from PBE-GGA.

Geometry as POSCAR:
```
PmUTl2O6
1.0
-0.508 -4.550 4.153
2.487 -3.989 -4.066
8.003 1.894 3.038
Pm O Tl U
2 12 4 2
direct
0.000 0.500 0.500
0.500 0.000 0.000
0.238 0.208 0.467
0.262 0.708 0.033
0.762 0.792 0.533
0.436 0.997 0.735
0.205 0.236 0.033
0.705 0.264 0.533
0.936 0.503 0.235
0.295 0.736 0.467
0.795 0.764 0.967
0.738 0.292 0.967
0.564 0.003 0.265
0.064 0.497 0.765
0.504 0.507 0.750
0.496 0.493 0.250
0.004 0.993 0.250
0.996 0.007 0.750
0.500 0.000 0.500
0.000 0.500 0.000
```

- uncorrected energy (eV for the cell shown) = -146.83
- ΔE_f (raw) (eV per atom) = -2.289

Here is an optimized crystal structure of HfBiI2N from Alexandria. Energies are from PBE-GGA.

Geometry as POSCAR:
```
HfBiI2N
1.0
6.337 0.000 0.000
0.000 6.337 0.000
0.000 0.000 4.134
I Hf Bi N
2 1 1 1
direct
0.500 0.000 0.000
0.000 0.500 0.000
0.500 0.500 0.500
0.000 0.000 0.000
0.000 0.000 0.500
```

- uncorrected energy (eV for the cell shown) = -19.27
- ΔE_f (raw) (eV per atom) = 1.198
- polymorph energy (0 for the lowest one) (meV per atom) = 1222

Here is an optimized crystal structure of Ta2Be2P from Alexandria. Energies are from PBE-GGA.

Geometry as POSCAR:
```
Ta2Be2P
1.0
-5.799 -0.215 -1.053
-0.023 -5.752 1.304
-0.652 0.781 3.433
P Ta Be
2 4 4
direct
0.000 0.000 0.000
0.500 0.500 0.000
0.680 0.820 0.500
0.180 0.680 0.500
0.820 0.320 0.500
0.320 0.180 0.500
0.380 0.880 0.000
0.120 0.380 0.000
0.880 0.620 0.000
0.620 0.120 0.000
```

- uncorrected energy (eV for the cell shown) = -75.00

Here is an optimized crystal structure of Mg2VPb from Alexandria. Energies are from PBE-GGA.

Geometry as POSCAR:
```
Mg2VPb
1.0
-2.106 -1.743 -1.630
0.954 -2.614 -1.544
-2.389 -7.583 8.085
Mg V Pb
2 1 1
direct
0.083 0.083 0.750
0.917 0.917 0.250
0.000 0.000 0.000
0.500 0.500 0.500
```

- uncorrected energy (eV for the cell shown) = -13.54

Here is an optimized crystal structure of Tb4NdHo2Tm from Alexandria. Energies are from PBE-GGA.

Geometry as POSCAR:
```
Tb4NdHo2Tm
1.0
-5.502 -7.561 1.579
-0.874 -1.602 -9.306
9.549 3.431 5.938
Ho Tm Tb Nd
4 2 8 2
direct
0.500 0.000 0.000
0.000 0.000 0.500
0.500 0.500 0.000
0.500 0.000 0.500
0.500 0.500 0.500
0.000 0.000 0.000
0.750 0.247 0.998
0.749 0.753 0.502
0.251 0.247 0.498
0.250 0.753 0.002
0.747 0.250 0.498
0.747 0.751 0.998
0.253 0.750 0.502
0.253 0.249 0.002
0.000 0.500 0.500
0.000 0.500 0.000
```

- uncorrected energy (eV for the cell shown) = -66.92

Here is an optimized crystal structure of MnAlOs2 from Alexandria. Energies are from PBE-GGA.

Geometry as POSCAR:
```
MnAlOs2
1.0
4.243 0.000 0.000
2.121 3.674 0.000
2.121 1.225 3.464
Mn Al Os
1 1 2
direct
0.750 0.750 0.750
0.500 0.500 0.500
0.000 0.000 0.000
0.250 0.250 0.250
```

- uncorrected energy (eV for the cell shown) = -34.97

Here is an optimized crystal structure of BaPrAlO4 from Alexandria. Energies are from PBE-GGA.

Geometry as POSCAR:
```
BaPrAlO4
1.0
5.819 0.000 0.015
0.000 5.882 0.000
-2.266 0.000 6.921
O Pr Ba Al
8 2 2 2
direct
0.959 0.018 0.712
0.560 0.250 0.437
0.959 0.482 0.712
0.041 0.518 0.288
0.440 0.750 0.563
0.041 0.982 0.288
0.438 0.750 0.172
0.562 0.250 0.828
0.796 0.750 0.459
0.204 0.250 0.541
0.703 0.750 0.925
0.297 0.250 0.075
0.752 0.250 0.679
0.248 0.750 0.321
```

- uncorrected energy (eV for the cell shown) = -102.66
- ΔE_f (raw) (eV per atom) = -3.007

Here is an optimized crystal structure of Sm2CdSi3Pt4 from Alexandria. Energies are from PBE-GGA.

Geometry as POSCAR:
```
Sm2CdSi3Pt4
1.0
-1.884 -3.315 -1.900
1.501 -2.591 3.030
-8.551 1.632 5.632
Si Sm Pt Cd
3 2 4 1
direct
0.500 0.000 0.877
0.000 0.000 0.500
0.000 0.500 0.123
0.000 0.500 0.754
0.500 0.000 0.246
0.500 0.500 0.000
0.000 0.000 0.000
0.000 0.500 0.348
0.500 0.000 0.652
0.500 0.500 0.500
```

- uncorrected energy (eV for the cell shown) = -60.31
- ΔE_f (raw) (eV per atom) = -0.952

Here is an optimized crystal structure of NaLaTlPt from Alexandria. Energies are from PBE-GGA.

Geometry as POSCAR:
```
NaLaTlPt
1.0
5.210 0.000 0.000
2.605 4.512 0.000
2.605 1.504 4.254
Tl La Na Pt
1 1 1 1
direct
0.250 0.250 0.250
0.000 0.000 0.000
0.500 0.500 0.500
0.750 0.750 0.750
```

- uncorrected energy (eV for the cell shown) = -16.30

Here is an optimized crystal structure of Dy2Mg2Al15 from Alexandria. Energies are from PBE-GGA.

Geometry as POSCAR:
```
Dy2Mg2Al15
1.0
7.019 -0.762 1.506
1.054 6.981 1.506
-0.989 -0.762 7.110
Al Dy Mg
15 2 2
direct
0.000 0.713 0.287
0.000 0.500 0.000
0.287 0.000 0.713
0.850 0.363 0.363
0.000 0.000 0.500
0.363 0.850 0.363
0.287 0.713 0.000
0.500 0.000 0.000
0.637 0.637 0.150
0.637 0.150 0.637
0.363 0.363 0.850
0.713 0.000 0.287
0.713 0.287 0.000
0.000 0.287 0.713
0.150 0.637 0.637
0.115 0.115 0.115
0.885 0.885 0.885
0.632 0.632 0.632
0.368 0.368 0.368
```

- uncorrected energy (eV for the cell shown) = -69.28

Here is an optimized crystal structure of ZnAg3Sn from Alexandria. Energies are from PBE-GGA.

Geometry as POSCAR:
```
ZnAg3Sn
1.0
-1.423 -6.477 1.327
3.943 2.706 -4.783
3.974 2.510 4.863
Ag Sn Zn
6 2 2
direct
0.533 0.307 0.275
0.065 0.281 0.284
0.033 0.807 0.274
0.533 0.759 0.726
0.998 0.781 0.716
0.033 0.259 0.725
0.603 0.781 0.321
0.460 0.281 0.679
0.029 0.530 0.000
0.530 0.030 0.000
```

- uncorrected energy (eV for the cell shown) = -26.04
- polymorph energy (0 for the lowest one) (meV per atom) = 150

Here is an optimized crystal structure of PmPrEr2Se6 from Alexandria. Energies are from PBE-GGA.

Geometry as POSCAR:
```
PmPrEr2Se6
1.0
-1.255 6.236 3.629
-5.409 4.453 -2.132
-6.334 0.448 4.428
Er Se Pm Pr
2 6 1 1
direct
0.512 0.512 0.463
0.014 0.014 0.959
0.231 0.891 0.245
0.126 0.399 0.744
0.731 0.126 0.744
0.398 0.731 0.744
0.633 0.231 0.245
0.891 0.633 0.245
0.814 0.814 0.559
0.311 0.311 0.067
```

- uncorrected energy (eV for the cell shown) = -57.98
- ΔE_f (raw) (eV per atom) = -1.842

Here is an optimized crystal structure of AcLaSb from Alexandria. Energies are from PBE-GGA.

Geometry as POSCAR:
```
AcLaSb
1.0
-1.306 -0.506 4.588
-3.132 -3.404 -1.268
6.559 -6.461 1.152
Ac Sb La
2 2 2
direct
0.611 0.873 0.412
0.110 0.372 0.701
0.111 0.373 0.325
0.610 0.872 0.787
0.110 0.873 0.056
0.610 0.372 0.056
```

- uncorrected energy (eV for the cell shown) = -31.27
- ΔE_f (raw) (eV per atom) = -0.826
- polymorph energy (0 for the lowest one) (meV per atom) = 0

Here is an optimized crystal structure of TcAsI2N from Alexandria. Energies are from PBE-GGA.

Geometry as POSCAR:
```
TcAsI2N
1.0
-4.855 2.592 -0.628
-1.637 -3.926 -3.549
-1.427 -1.981 2.850
I Tc As N
2 1 1 1
direct
0.000 0.500 0.000
0.500 0.000 0.000
0.000 0.000 0.000
0.500 0.500 0.500
0.000 0.000 0.500
```

- uncorrected energy (eV for the cell shown) = -23.37
- ΔE_f (raw) (eV per atom) = 0.615
- polymorph energy (0 for the lowest one) (meV per atom) = 0